Compound: LuTh2Cd
Source: Alexandria
Functional: PBE
Structure: relaxed

a = 3.463 Å, b = 3.463 Å, c = 9.948 Å
α = 90.00°, β = 90.00°, γ = 90.00°
Atoms (fractional coordinates):
Lu: 0.500 0.500 0.500
Th: 0.000 0.000 0.759
Th: 0.000 0.000 0.241
Cd: 0.500 0.500 0.000

Compound: Th2HgN
Source: Alexandria
Functional: PBE
Structure: relaxed

a = 4.719 Å, b = 4.719 Å, c = 9.009 Å
α = 90.05°, β = 90.05°, γ = 90.00°
Atoms (fractional coordinates):
Th: 0.750 0.750 0.841
Th: 0.750 0.250 0.500
Th: 0.250 0.250 0.159
Th: 0.250 0.750 0.500
Hg: 0.251 0.251 0.797
Hg: 0.749 0.749 0.203
N: 0.250 0.250 0.413
N: 0.750 0.750 0.587

Results
* ΔE_f (raw): -0.7769 eV/atom

Compound: La7Pm3Dy2
Source: Alexandria
Functional: PBE
Structure: relaxed

a = 3.600 Å, b = 6.585 Å, c = 18.516 Å
α = 75.09°, β = 90.00°, γ = 90.00°
Atoms (fractional coordinates):
La: 0.500 0.230 0.509
La: 0.500 0.770 0.491
La: 0.000 0.557 0.169
La: 0.000 0.000 0.000
La: 0.000 0.443 0.831
La: 0.500 0.951 0.828
La: 0.500 0.049 0.172
Pm: 0.500 0.500 0.000
Pm: 0.000 0.118 0.336
Pm: 0.000 0.882 0.664
Dy: 0.500 0.611 0.331
Dy: 0.500 0.389 0.669

Number 1: total energy -5.07 eV/atom, energy relative to the lowest polymorph listed for this composition 0.00 eV per formula unit, total magnetic moment 0.00 μB per formula unit. Number 2: total energy -6.64 eV/atom, energy relative to the lowest polymorph listed for this composition 0.07 eV per formula unit, total magnetic moment 0.00 μB per formula unit. Number 3: total energy -4.76 eV/atom, energy relative to the lowest polymorph listed for this composition 0.00 eV per formula unit, total magnetic moment 0.00 μB per formula unit.